Crystalline ThScUO6 at its relaxed geometry, computed with PBE.

Results
As for the formation energy from raw total energies: -3.468 eV per atom.

a b c (Å): 5.6076 5.6076 9.8746
angles (deg): 90.00 90.00 120.00
Site moments in Bohr magnetons follow the coordinates.
Fractional positions:
O 0.0027 0.3477 0.1364  -0.02
O 0.3450 0.3477 0.3636  -0.02
Th 0.0000 0.0000 0.0000  0.00
U 0.6667 0.3333 0.2500  1.06
O 0.6550 0.6523 0.6364  -0.02
O 0.3477 0.3450 0.8636  -0.02
Sc 0.3333 0.6667 0.2500  0.01
O 0.9973 0.3450 0.6364  -0.02
O 0.6550 0.0027 0.8636  -0.02
O 0.6523 0.9973 0.3636  -0.02
O 0.0027 0.6550 0.3636  -0.02
U 0.3333 0.6667 0.7500  1.06
Sc 0.6667 0.3333 0.7500  0.01
Th 0.0000 0.0000 0.5000  0.00
O 0.3450 0.9973 0.1364  -0.02
O 0.3477 0.0027 0.6364  -0.02
O 0.6523 0.6550 0.1364  -0.02
O 0.9973 0.6523 0.8636  -0.02